This record from Alexandria describes crystalline LaZr2Cd at its relaxed geometry. The functional is PBE. Values from VASP.

Quantum ESPRESSO input file:
```
&SYSTEM
  ibrav = 0, nat = 4, ntyp = 3
/
ATOMIC_SPECIES
Zr 91.22 Zr.upf
La 138.91 La.upf
Cd 112.41 Cd.upf
ATOMIC_POSITIONS angstrom
Zr -0.2148 0.0490 0.1512
La -6.3208 -0.9311 3.8645
Zr -2.5385 -1.7944 1.2025
Cd -3.6603 0.8354 2.5761
CELL_PARAMETERS angstrom
-1.8516 -1.7638 -2.0589
0.6201 -2.7027 1.7576
-7.6686 1.7503 5.3971
```

Energy relative to the elements: -56 meV per atom
Final energy: -5.791 eV per atom
Space group: P4mm (99)

=====

This record from Alexandria describes crystalline LaZr2Cd2 at its relaxed geometry. The functional is PBE. Values from VASP.

Quantum ESPRESSO input file:
```
&SYSTEM
  ibrav = 0, nat = 10, ntyp = 3
/
ATOMIC_SPECIES
Zr 91.22 Zr.upf
Cd 112.41 Cd.upf
La 138.91 La.upf
ATOMIC_POSITIONS angstrom
Zr 1.1572 -3.1386 1.3715
Cd -1.3215 -8.9532 2.2785
Cd -0.6502 -7.8934 -2.4229
Zr 0.4309 -6.9083 3.7930
La -0.7729 -6.0657 0.4897
Zr 0.5810 -9.3804 -0.0106
Cd -0.8955 -4.2380 3.4023
La 0.0000 0.0000 0.0000
Zr 1.3073 -5.6107 -2.4321
Cd -0.2242 -3.1781 -1.2992
CELL_PARAMETERS angstrom
-1.4111 -5.4940 6.5638
-0.1347 -6.6373 -5.5845
3.2840 -0.3876 0.3815
```

Energy relative to the elements: 34 meV per atom
Final energy: -4.737 eV per atom
E above lowest polymorph: 47 meV per atom
Space group: P4/mbm (127)